(1)
# PBE Li3NdZn9, relaxed
data_Li3NdZn9
_chemical_formula_sum 'Li6 Nd2 Zn18'
_space_group_name_H-M_alt 'C 1 2/m 1'
_space_group_IT_number 12
_cell_length_a 4.889
_cell_length_b 13.015
_cell_length_c 6.901
_cell_angle_alpha 90.00
_cell_angle_beta 109.64
_cell_angle_gamma 90.00
loop_
_space_group_symop_operation_xyz
'x,y,z'
'-x,-y,-z'
'-x,y,-z'
'x,-y,z'
'x+1/2,y+1/2,z'
'-x+1/2,-y+1/2,-z'
'-x+1/2,y+1/2,-z'
'x+1/2,-y+1/2,z'
loop_
_atom_site_label
_atom_site_fract_x
_atom_site_fract_y
_atom_site_fract_z
Li1 0.000 0.000 0.000
Li2 0.250 0.250 0.500
Nd1 0.000 0.000 0.500
Zn1 0.000 0.500 0.000
Zn2 0.106 0.387 0.721
Zn3 0.162 0.178 0.854
# Calculated formation energy = -0.209 eV/atom
# Volume = 413.6 Å³ per cell
# Total magnetization = 0.000 μB per cell

(2)
# PBE LiNdZn3, relaxed
data_LiNdZn3
_chemical_formula_sum 'Li2 Nd2 Zn6'
_space_group_name_H-M_alt 'P 1 21/m 1'
_space_group_IT_number 11
_cell_length_a 5.913
_cell_length_b 6.142
_cell_length_c 5.914
_cell_angle_alpha 90.00
_cell_angle_beta 114.64
_cell_angle_gamma 90.00
loop_
_space_group_symop_operation_xyz
'x,y,z'
'-x,-y,-z'
'-x,y+1/2,-z'
'x,-y+1/2,z'
loop_
_atom_site_label
_atom_site_fract_x
_atom_site_fract_y
_atom_site_fract_z
Li1 0.100 0.250 0.398
Nd1 0.230 0.750 0.270
Zn1 0.284 0.001 0.784
Zn2 0.349 0.250 0.152
# Calculated formation energy = -0.218 eV/atom
# Volume = 195.2 Å³ per cell
# Total magnetization = 0.000 μB per cell